{"formula": "CrBr5", "functional": "GGA-PBE", "state": "relaxed", "lattice": [[0.0000, 4.3674, 4.3674], [4.3674, 0.0000, 4.3674], [4.3674, 4.3674, 0.0000]], "species": ["Br", "Br", "Br", "Br", "Br", "Cr"], "frac_coords": [[0.8757, 0.3748, 0.3748], [0.7500, 0.7500, 0.7500], [0.3748, 0.8757, 0.3748], [0.3748, 0.3748, 0.3748], [0.3748, 0.3748, 0.8757], [0.0000, 0.0000, 0.0000]], "final_energy_ev_per_atom": -2.336, "sg": "F-43m, No. 216", "formation_energy_uncorrected_mev_per_atom": 662, "magmom_total_mub_per_fu": 4.65}

---

{"formula": "BaSr14Ir", "functional": "GGA-PBE", "state": "relaxed", "lattice": [[-8.5395, 0.9289, -1.1472], [2.4123, -2.9770, -7.7730], [-1.6120, -10.4800, 3.5135]], "species": ["Ir", "Sr", "Sr", "Sr", "Sr", "Sr", "Sr", "Sr", "Sr", "Sr", "Sr", "Sr", "Sr", "Sr", "Sr", "Ba"], "frac_coords": [[0.7468, 0.2532, 0.5000], [0.1113, 0.3779, 0.5000], [0.3479, 0.6521, 0.2411], [0.8071, 0.5515, 0.6850], [0.6221, 0.8887, 0.5000], [0.4485, 0.1929, 0.3150], [0.8827, 0.1173, 0.2717], [0.0912, 0.3786, 0.0000], [0.1127, 0.8873, 0.0000], [0.4485, 0.1929, 0.6850], [0.8827, 0.1173, 0.7283], [0.5985, 0.4015, 0.0000], [0.3479, 0.6521, 0.7589], [0.6214, 0.9088, 0.0000], [0.8071, 0.5515, 0.3150], [0.1236, 0.8764, 0.5000]], "formation_enthalpy_0k_ev_per_atom": 0.0172, "final_energy_ev_per_atom": -2.128, "sg": "Amm2, No. 38", "magmom_total_mub_per_fu": 0.00}